[1]
NpSc2Tl: optimized geometry, PBE.

## Properties
The volume comes out at 23.12 Å³ per atom. The density of states at the Fermi level comes out at 6.4 states/eV per cell. The final energy is -27.7 eV per formula unit. Its formation energy is 0.3 eV per formula unit.

The structure in CIF format:
```
data_NpSc2Tl
_cell_length_a 3.246
_cell_length_b 3.246
_cell_length_c 8.776
_cell_angle_alpha 90.00
_cell_angle_beta 90.00
_cell_angle_gamma 90.00
_symmetry_space_group_name_H-M 'P 4/m m m'
_symmetry_Int_Tables_number 123
_symmetry_space_group_name_Hall '-P 4 2'
loop_
_atom_site_label
_atom_site_type_symbol
_atom_site_fract_x
_atom_site_fract_y
_atom_site_fract_z
Np1 Np 0.000 0.000 0.000
Sc1 Sc 0.500 0.500 0.253
Tl1 Tl 0.000 0.000 0.500
```


[2]
NpSc2Zn: optimized geometry, PBE.

## Properties
The volume comes out at 20.89 Å³ per atom. For the excess energy over the best structure of this formula in the dataset, the calculation gives 0 meV per atom. The density of states at the Fermi level comes out at 8.6 states/eV per cell. The final energy is -26.7 eV per formula unit. Its formation energy is 0.2 eV per formula unit.

The structure in CIF format:
```
data_NpSc2Zn
_cell_length_a 3.133
_cell_length_b 3.133
_cell_length_c 8.516
_cell_angle_alpha 90.00
_cell_angle_beta 90.00
_cell_angle_gamma 90.00
_symmetry_space_group_name_H-M 'P 4/m m m'
_symmetry_Int_Tables_number 123
_symmetry_space_group_name_Hall '-P 4 2'
loop_
_atom_site_label
_atom_site_type_symbol
_atom_site_fract_x
_atom_site_fract_y
_atom_site_fract_z
Np1 Np 0.000 0.000 0.000
Sc1 Sc 0.500 0.500 0.278
Zn1 Zn 0.000 0.000 0.500
```


[3]
NpSc2Zn: optimized geometry, PBE.

## Properties
The volume comes out at 22.73 Å³ per atom. For the excess energy over the best structure of this formula in the dataset, the calculation gives 327 meV per atom. The density of states at the Fermi level comes out at 18.1 states/eV per cell. The final energy is -25.4 eV per formula unit. Its formation energy is 1.5 eV per formula unit.

The structure in CIF format:
```
data_NpSc2Zn
_cell_length_a 3.0937
_cell_length_b 3.0937
_cell_length_c 32.9065
_cell_angle_alpha 90.00
_cell_angle_beta 90.00
_cell_angle_gamma 120.00
_symmetry_space_group_name_H-M 'R -3 m'
_symmetry_Int_Tables_number 166
_symmetry_space_group_name_Hall '-R 3 2"'
loop_
_atom_site_label
_atom_site_type_symbol
_atom_site_fract_x
_atom_site_fract_y
_atom_site_fract_z
Np1 Np 0.0000 0.0000 0.0000
Sc1 Sc 0.0000 0.0000 0.4126
Zn1 Zn 0.0000 0.0000 0.5000
```


[4]
NpScZn17: optimized geometry, PBE.

## Properties
The volume comes out at 15.90 Å³ per atom. The density of states at the Fermi level comes out at 43.2 states/eV per cell. The final energy is -43.0 eV per formula unit. Its formation energy is -2.0 eV per formula unit.

The structure in CIF format:
```
data_NpScZn17
_cell_length_a 8.9224
_cell_length_b 8.9224
_cell_length_c 13.1429
_cell_angle_alpha 90.00
_cell_angle_beta 90.00
_cell_angle_gamma 120.00
_symmetry_space_group_name_H-M 'R 3 m'
_symmetry_Int_Tables_number 160
_symmetry_space_group_name_Hall 'R 3 -2"'
loop_
_atom_site_label
_atom_site_type_symbol
_atom_site_fract_x
_atom_site_fract_y
_atom_site_fract_z
Np1 Np 0.0000 0.0000 0.0000
Sc1 Sc 0.0000 0.0000 0.6672
Zn1 Zn 0.0000 0.0000 0.2370
Zn2 Zn 0.0000 0.0000 0.4384
Zn3 Zn 0.0029 0.3009 0.3350
Zn4 Zn 0.0067 0.5034 0.8330
Zn5 Zn 0.0167 0.5084 0.4868
Zn6 Zn 0.1691 0.3382 0.5187
```


[5]
ZrNpSc: optimized geometry, PBE.

## Properties
The volume comes out at 24.67 Å³ per atom. The density of states at the Fermi level comes out at 38.5 states/eV per cell. The final energy is -26.2 eV per formula unit. Its formation energy is 1.7 eV per formula unit.

The structure in CIF format:
```
data_ZrNpSc
_cell_length_a 5.8714
_cell_length_b 5.8714
_cell_length_c 14.8752
_cell_angle_alpha 90.00
_cell_angle_beta 90.00
_cell_angle_gamma 120.00
_symmetry_space_group_name_H-M 'P 62 2 2'
_symmetry_Int_Tables_number 180
_symmetry_space_group_name_Hall 'P 62 2 (0 0 4)'
loop_
_atom_site_label
_atom_site_type_symbol
_atom_site_fract_x
_atom_site_fract_y
_atom_site_fract_z
Zr1 Zr 0.0000 0.5000 0.3654
Np1 Np 0.2470 0.6235 0.1667
Sc1 Sc 0.0000 0.0000 0.1667
Sc2 Sc 0.0000 0.5000 0.6667
```


[6]
Np3Se8: optimized geometry, PBE.

## Properties
The volume comes out at 27.06 Å³ per atom. As for the uncorrected formation energy: -0.73 eV/atom. The density of states at the Fermi level comes out at 35.6 states/eV per cell. The final energy is -74.8 eV per formula unit.

The structure in CIF format:
```
data_Np3Se8
_cell_length_a 6.677
_cell_length_b 6.677
_cell_length_c 6.677
_cell_angle_alpha 90.00
_cell_angle_beta 90.00
_cell_angle_gamma 90.00
_symmetry_space_group_name_H-M 'P m -3 m'
_symmetry_Int_Tables_number 221
_symmetry_space_group_name_Hall '-P 4 2 3'
loop_
_atom_site_label
_atom_site_type_symbol
_atom_site_fract_x
_atom_site_fract_y
_atom_site_fract_z
Np1 Np 0.000 0.000 0.500
Se1 Se 0.245 0.245 0.245
```